(1)
A relaxed Pm4Ho6Er crystal, computed with GGA-PBE.

```
11
Lattice="10.976 0.000 0.000 -5.488 9.505 0.000 0.000 0.000 3.549" Properties=species:S:1:pos:R:3 pbc="T T T"
Pm 0.000 0.000 0.000
Pm -2.705 4.775 1.775
Pm 2.705 4.775 1.775
Pm 0.000 9.461 1.775
Ho 0.000 2.921 1.775
Ho -2.958 8.045 1.775
Ho 2.918 1.685 0.000
Ho 2.958 8.045 1.775
Ho 8.058 1.685 0.000
Ho 5.488 6.136 0.000
Er 0.000 6.337 0.000
```

Calculated values
energy relative to the lowest polymorph listed for this composition	0	meV/atom
crystal system	hexagonal
total DFT energy (no corrections)	-4.474	eV per atom
energy of formation from the pure elements	1.817	eV/f.u.
mass density	7.79	g cm⁻³
symmetry	P-6m2 (187)


(2)
A relaxed Pm8Ho2Er crystal, computed with GGA-PBE.

```
11
Lattice="8.366 -3.386 0.000 8.366 3.386 0.000 -1.202 0.000 6.594" Properties=species:S:1:pos:R:3 pbc="T T T"
Pm 0.464 0.000 6.018
Pm 6.193 1.774 3.933
Pm 3.458 0.000 4.495
Pm 9.337 1.774 2.661
Pm 6.193 -1.774 3.933
Pm 12.072 0.000 2.099
Pm 9.337 -1.774 2.661
Pm 15.067 0.000 0.576
Ho 4.838 0.000 1.282
Ho 10.693 0.000 5.312
Er 8.366 0.000 0.000
```

Calculated values
energy relative to the lowest polymorph listed for this composition	0	meV/atom
crystal system	monoclinic
total DFT energy (no corrections)	-4.532	eV per atom
energy of formation from the pure elements	1.869	eV/f.u.
mass density	7.37	g cm⁻³
symmetry	C2/m (12)


(3)
A relaxed PmHo6Er3 crystal, computed with GGA-PBE.

```
20
Lattice="5.472 -9.416 0.000 5.472 9.416 0.000 0.000 0.000 6.155" Properties=species:S:1:pos:R:3 pbc="T T T"
Pm 5.472 5.510 3.077
Pm 5.472 -5.510 0.000
Ho 2.721 3.959 1.795
Ho 5.472 8.527 4.550
Ho 5.472 4.045 0.079
Ho 3.669 0.871 0.765
Ho 3.669 -0.871 3.842
Ho 2.721 -3.959 4.872
Ho 8.223 3.959 1.795
Ho 7.276 0.871 0.765
Ho 7.276 -0.871 3.842
Ho 5.472 -4.045 3.157
Ho 5.472 -8.527 1.473
Ho 8.223 -3.959 4.872
Er 1.893 2.046 4.298
Er 1.893 -2.046 1.221
Er 5.472 2.071 3.582
Er 5.472 -2.071 0.504
Er 9.051 2.046 4.298
Er 9.051 -2.046 1.221
```

Calculated values
energy relative to the lowest polymorph listed for this composition	0	meV/atom
crystal system	orthorhombic
total DFT energy (no corrections)	-4.441	eV per atom
energy of formation from the pure elements	1.496	eV/f.u.
mass density	8.57	g cm⁻³
symmetry	Cmc2_1 (36)


(4)
A relaxed PmHo5Er7 crystal, computed with GGA-PBE.

```
13
Lattice="-3.323 5.510 5.733 3.323 -5.510 5.733 3.323 5.510 -5.733" Properties=species:S:1:pos:R:3 pbc="T T T"
Pm 0.000 0.000 0.000
Ho 1.551 2.518 -2.287
Ho 5.096 2.518 -2.287
Ho -1.772 2.992 3.446
Ho 1.772 2.992 3.446
Ho 0.000 5.510 3.435
Er 3.323 1.869 0.593
Er 3.323 0.000 3.475
Er 0.000 0.000 3.482
Er 0.000 3.635 0.589
Er 0.000 0.000 6.990
Er 0.000 7.384 0.589
Er 0.000 3.640 6.326
```

Calculated values
crystal system	orthorhombic
total DFT energy (no corrections)	-4.327	eV per atom
energy of formation from the pure elements	3.333	eV/f.u.
mass density	8.46	g cm⁻³
symmetry	Imm2 (44)